Version 1
A plane-wave DFT calculation with PBE was carried out for NaVRe2 after structural relaxation.

Summary:
Magnetic moment, μB per atom: 0.000

a b c (Å): 4.383 4.383 4.383
angles (deg): 60.00 60.00 60.00
Fractional positions:
Na1 0.000 0.000 0.000
V1 0.500 0.500 0.500
Re1 0.250 0.250 0.250
Re2 0.750 0.750 0.750



Version 2
A plane-wave DFT calculation with PBE was carried out for NaVRe2 after structural relaxation.

Summary:
Magnetic moment, μB per atom: 0.451

a b c (Å): 9.990 9.990 9.990
angles (deg): 157.81 157.81 31.58
Fractional positions:
Na1 0.000 0.000 0.000
Na2 0.750 0.250 0.500
V1 0.250 0.750 0.500
V2 0.500 0.500 0.000
Re1 0.182 0.625 0.057
Re2 0.375 0.432 0.557
Re3 0.568 0.125 0.943
Re4 0.875 0.818 0.443



Order of stability, best first: version 1, version 2